Entry 1:
# PBEsol AlP2RuBr, optimized geometry
# * raw total energy: -4.41 eV per atom
# * M_tot: 1.1 μB/cell
# * ρ: 4.61 g cm⁻³
# * calculated volume: 19.5 Å³/atom
data_AlP2RuBr
_chemical_formula_sum 'Al1 P2 Ru1 Br1'
_cell_length_a 4.4774
_cell_length_b 4.4774
_cell_length_c 4.8514
_cell_angle_alpha 90.00
_cell_angle_beta 90.00
_cell_angle_gamma 90.00
_space_group_name_H-M_alt 'P 4/m m m'
_space_group_IT_number 123
_space_group_name_Hall '-P 4 2'
loop_
_atom_site_label
_atom_site_type_symbol
_atom_site_fract_x
_atom_site_fract_y
_atom_site_fract_z
Al1 Al 0.0000 0.0000 0.0000
P1 P 0.0000 0.5000 0.0000
Ru1 Ru 0.0000 0.0000 0.5000
Br1 Br 0.5000 0.5000 0.5000


Entry 2:
# PBEsol AlHgW2, optimized geometry
# * raw total energy: -7.68 eV per atom
# * M_tot: 0.0 μB/cell
# * formation energy from the elements: 37.23 kJ per mole of atoms
# * ρ: 14.79 g cm⁻³
# * calculated volume: 16.7 Å³/atom
# * energy above the lowest structure with this stoichiometry: 0 meV/atom
data_AlHgW2
_chemical_formula_sum 'Al3 Hg3 W6'
_cell_length_a 2.8504
_cell_length_b 2.8504
_cell_length_c 28.4897
_cell_angle_alpha 90.00
_cell_angle_beta 90.00
_cell_angle_gamma 120.00
_space_group_name_H-M_alt 'R 3 m'
_space_group_IT_number 160
_space_group_name_Hall 'R 3 -2"'
loop_
_atom_site_label
_atom_site_type_symbol
_atom_site_fract_x
_atom_site_fract_y
_atom_site_fract_z
Al1 Al 0.0000 0.0000 0.0000
Hg1 Hg 0.0000 0.0000 0.7532
W1 W 0.0000 0.0000 0.2570
W2 W 0.0000 0.0000 0.5088


Entry 3:
# PBEsol LiMg3, optimized geometry
# * raw total energy: -1.81 eV per atom
# * M_tot: 0.0 μB/cell
# * formation energy from the elements: -3.23 kJ per mole of atoms
# * ρ: 1.58 g cm⁻³
# * calculated volume: 21.0 Å³/atom
data_LiMg3
_chemical_formula_sum 'Li4 Mg12'
_cell_length_a 6.9540
_cell_length_b 6.9540
_cell_length_c 6.9540
_cell_angle_alpha 90.00
_cell_angle_beta 90.00
_cell_angle_gamma 90.00
_space_group_name_H-M_alt 'F m -3 m'
_space_group_IT_number 225
_space_group_name_Hall '-F 4 2 3'
loop_
_atom_site_label
_atom_site_type_symbol
_atom_site_fract_x
_atom_site_fract_y
_atom_site_fract_z
Li1 Li 0.0000 0.0000 0.0000
Mg1 Mg 0.0000 0.0000 0.5000
Mg2 Mg 0.2500 0.2500 0.2500


- Which value of M_tot does entry 2 give?
  0.0 μB/cell